1.
A plane-wave DFT calculation with PBE was carried out for a geometry-optimized Ca2La12Pm5 structure. Values from VASP.

## Properties
* SG: No. 12
* crystal system: monoclinic
* energy of formation from the pure elements: 0.099 eV/atom

```
&SYSTEM
  ibrav = 0, nat = 19, ntyp = 3
/
ATOMIC_SPECIES
Ca 40.08 Ca.upf
La 138.91 La.upf
Pm 145.00 Pm.upf
CELL_PARAMETERS angstrom
9.323 -6.010 0.000
9.323 6.010 0.000
-1.455 0.000 6.244
ATOMIC_POSITIONS crystal
Ca 0.228 0.772 0.000
Ca 0.772 0.228 0.000
La 0.054 0.543 0.795
La 0.126 0.126 0.994
La 0.145 0.645 0.393
La 0.355 0.855 0.607
La 0.440 0.440 0.716
La 0.457 0.946 0.205
La 0.543 0.054 0.795
La 0.560 0.560 0.284
La 0.645 0.145 0.393
La 0.855 0.355 0.607
La 0.874 0.874 0.006
La 0.946 0.457 0.205
Pm 0.000 0.000 0.500
Pm 0.215 0.215 0.547
Pm 0.325 0.325 0.148
Pm 0.675 0.675 0.852
Pm 0.785 0.785 0.453
```

=====

2.
A plane-wave DFT calculation with PBE was carried out for a geometry-optimized CaLa5Pm structure. Values from VASP.

## Properties
* SG: No. 123
* crystal system: tetragonal
* energy of formation from the pure elements: 0.281 eV/atom

```
&SYSTEM
  ibrav = 0, nat = 7, ntyp = 3
/
ATOMIC_SPECIES
Ca 40.08 Ca.upf
La 138.91 La.upf
Pm 145.00 Pm.upf
CELL_PARAMETERS angstrom
5.485 0.000 0.000
0.000 5.485 0.000
0.000 0.000 9.129
ATOMIC_POSITIONS crystal
Ca 0.000 0.000 0.000
La 0.000 0.500 0.283
La 0.000 0.500 0.717
La 0.500 0.000 0.283
La 0.500 0.000 0.717
La 0.500 0.500 0.000
Pm 0.000 0.000 0.500
```

=====

3.
A plane-wave DFT calculation with PBE was carried out for a geometry-optimized CaLa7Pm12 structure. Values from VASP.

## Properties
* SG: No. 204
* crystal system: cubic
* energy of formation from the pure elements: 0.529 eV/atom

```
&SYSTEM
  ibrav = 0, nat = 20, ntyp = 3
/
ATOMIC_SPECIES
Ca 40.08 Ca.upf
La 138.91 La.upf
Pm 145.00 Pm.upf
CELL_PARAMETERS angstrom
-5.816 5.816 5.816
5.816 -5.816 5.816
5.816 5.816 -5.816
ATOMIC_POSITIONS crystal
Ca 0.000 0.000 0.000
La 0.000 0.000 0.500
La 0.000 0.500 0.000
La 0.000 0.500 0.500
La 0.500 0.000 0.000
La 0.500 0.000 0.500
La 0.500 0.500 0.000
La 0.500 0.500 0.500
Pm 0.001 0.253 0.748
Pm 0.252 0.506 0.253
Pm 0.252 0.999 0.747
Pm 0.253 0.252 0.506
Pm 0.253 0.748 0.001
Pm 0.494 0.747 0.748
Pm 0.506 0.253 0.252
Pm 0.747 0.252 0.999
Pm 0.747 0.748 0.494
Pm 0.748 0.001 0.253
Pm 0.748 0.494 0.747
Pm 0.999 0.747 0.252
```

=====

4.
A plane-wave DFT calculation with PBE was carried out for a geometry-optimized CaLaPm2 structure. Values from VASP.

## Properties
* SG: No. 123
* crystal system: tetragonal
* energy of formation from the pure elements: 0.084 eV/atom
* energy above the lowest structure with this stoichiometry: 42 meV per atom

```
&SYSTEM
  ibrav = 0, nat = 4, ntyp = 3
/
ATOMIC_SPECIES
Ca 40.08 Ca.upf
La 138.91 La.upf
Pm 145.00 Pm.upf
CELL_PARAMETERS angstrom
5.206 0.000 0.000
0.000 5.206 0.000
0.000 0.000 5.345
ATOMIC_POSITIONS crystal
Ca 0.000 0.000 0.000
La 0.500 0.500 0.000
Pm 0.000 0.500 0.500
Pm 0.500 0.000 0.500
```

=====

5.
A plane-wave DFT calculation with PBE was carried out for a geometry-optimized CaLaPm structure. Values from VASP.

## Properties
* SG: No. 187
* crystal system: hexagonal
* energy of formation from the pure elements: 0.165 eV/atom
* energy above the lowest structure with this stoichiometry: 131 meV per atom

```
&SYSTEM
  ibrav = 0, nat = 3, ntyp = 3
/
ATOMIC_SPECIES
Ca 40.08 Ca.upf
La 138.91 La.upf
Pm 145.00 Pm.upf
CELL_PARAMETERS angstrom
6.007 0.000 0.000
-3.004 5.202 0.000
0.000 0.000 3.602
ATOMIC_POSITIONS crystal
Ca 0.000 0.000 0.000
La 0.667 0.333 0.500
Pm 0.333 0.667 0.500
```

=====

6.
A plane-wave DFT calculation with PBE was carried out for a geometry-optimized CaLa3Pm8 structure. Values from VASP.

## Properties
* SG: No. 121
* crystal system: tetragonal
* energy of formation from the pure elements: 0.566 eV/atom

```
&SYSTEM
  ibrav = 0, nat = 12, ntyp = 3
/
ATOMIC_SPECIES
Ca 40.08 Ca.upf
La 138.91 La.upf
Pm 145.00 Pm.upf
CELL_PARAMETERS angstrom
-4.453 4.453 5.970
4.453 -4.453 5.970
4.453 4.453 -5.970
ATOMIC_POSITIONS crystal
Ca 0.000 0.000 0.000
La 0.250 0.750 0.500
La 0.500 0.500 0.000
La 0.750 0.250 0.500
Pm 0.136 0.404 0.000
Pm 0.230 0.230 0.534
Pm 0.303 0.770 0.000
Pm 0.404 0.136 0.000
Pm 0.596 0.596 0.732
Pm 0.697 0.697 0.466
Pm 0.770 0.303 0.000
Pm 0.864 0.864 0.268
```

=====

7.
A plane-wave DFT calculation with PBE was carried out for a geometry-optimized CaLa6Pm2 structure. Values from VASP.

## Properties
* SG: No. 8
* crystal system: monoclinic
* energy of formation from the pure elements: 0.094 eV/atom
* energy above the lowest structure with this stoichiometry: 18 meV per atom

```
&SYSTEM
  ibrav = 0, nat = 9, ntyp = 3
/
ATOMIC_SPECIES
Ca 40.08 Ca.upf
La 138.91 La.upf
Pm 145.00 Pm.upf
CELL_PARAMETERS angstrom
9.186 -5.094 0.000
9.186 5.094 0.000
-0.654 0.000 3.573
ATOMIC_POSITIONS crystal
Ca 0.000 0.000 0.000
La 0.013 0.648 0.346
La 0.337 0.663 0.487
La 0.353 0.986 0.670
La 0.648 0.013 0.346
La 0.663 0.337 0.487
La 0.986 0.353 0.670
Pm 0.344 0.344 0.851
Pm 0.656 0.656 0.118
```

=====

8.
A plane-wave DFT calculation with PBE was carried out for a geometry-optimized Ca2La4Pm structure. Values from VASP.

## Properties
* SG: No. 65
* crystal system: orthorhombic
* energy of formation from the pure elements: 0.064 eV/atom
* energy above the lowest structure with this stoichiometry: 0 meV per atom

```
&SYSTEM
  ibrav = 0, nat = 7, ntyp = 3
/
ATOMIC_SPECIES
Ca 40.08 Ca.upf
La 138.91 La.upf
Pm 145.00 Pm.upf
CELL_PARAMETERS angstrom
2.803 -12.945 0.000
2.803 12.945 0.000
0.000 0.000 3.634
ATOMIC_POSITIONS crystal
Ca 0.211 0.789 0.000
Ca 0.789 0.211 0.000
La 0.070 0.930 0.000
La 0.363 0.637 0.500
La 0.637 0.363 0.500
La 0.930 0.070 0.000
Pm 0.500 0.500 0.500
```

=====

9.
A plane-wave DFT calculation with PBE was carried out for a geometry-optimized CaLa4Pm2 structure. Values from VASP.

## Properties
* SG: No. 166
* crystal system: trigonal
* energy of formation from the pure elements: 0.019 eV/atom

```
&SYSTEM
  ibrav = 0, nat = 7, ntyp = 3
/
ATOMIC_SPECIES
Ca 40.08 Ca.upf
La 138.91 La.upf
Pm 145.00 Pm.upf
CELL_PARAMETERS angstrom
1.863 1.076 21.499
-1.863 1.076 21.499
0.000 -2.152 21.499
ATOMIC_POSITIONS crystal
Ca 0.000 0.000 0.000
La 0.143 0.143 0.143
La 0.283 0.283 0.283
La 0.717 0.717 0.717
La 0.857 0.857 0.857
Pm 0.429 0.429 0.429
Pm 0.571 0.571 0.571
```

=====

10.
A plane-wave DFT calculation with PBE was carried out for a geometry-optimized Ca2LaPm structure. Values from VASP.

## Properties
* SG: No. 166
* crystal system: trigonal
* energy of formation from the pure elements: 0.205 eV/atom
* energy above the lowest structure with this stoichiometry: 177 meV per atom

```
&SYSTEM
  ibrav = 0, nat = 4, ntyp = 3
/
ATOMIC_SPECIES
Ca 40.08 Ca.upf
La 138.91 La.upf
Pm 145.00 Pm.upf
CELL_PARAMETERS angstrom
1.815 1.048 13.476
-1.815 1.048 13.476
0.000 -2.095 13.476
ATOMIC_POSITIONS crystal
Ca 0.087 0.087 0.087
Ca 0.913 0.913 0.913
La 0.500 0.500 0.500
Pm 0.000 0.000 0.000
```

=====

11.
A plane-wave DFT calculation with PBE was carried out for a geometry-optimized CaLa4Pm7 structure. Values from VASP.

## Properties
* SG: No. 2
* crystal system: triclinic
* energy of formation from the pure elements: 0.037 eV/atom

```
&SYSTEM
  ibrav = 0, nat = 12, ntyp = 3
/
ATOMIC_SPECIES
Ca 40.08 Ca.upf
La 138.91 La.upf
Pm 145.00 Pm.upf
CELL_PARAMETERS angstrom
6.456 0.000 0.000
0.005 7.413 0.000
2.171 0.042 9.015
ATOMIC_POSITIONS crystal
Ca 0.000 0.000 0.000
La 0.218 0.501 0.327
La 0.286 0.255 0.665
La 0.714 0.745 0.335
La 0.782 0.499 0.673
Pm 0.000 0.500 0.000
Pm 0.225 0.000 0.339
Pm 0.282 0.747 0.668
Pm 0.499 0.746 0.999
Pm 0.501 0.254 0.001
Pm 0.718 0.253 0.332
Pm 0.775 0.000 0.661
```

=====

12.
A plane-wave DFT calculation with PBE was carried out for a geometry-optimized CaLaPm structure. Values from VASP.

## Properties
* SG: No. 139
* crystal system: tetragonal
* energy of formation from the pure elements: 0.086 eV/atom
* energy above the lowest structure with this stoichiometry: 52 meV per atom

```
&SYSTEM
  ibrav = 0, nat = 6, ntyp = 3
/
ATOMIC_SPECIES
Ca 40.08 Ca.upf
La 138.91 La.upf
Pm 145.00 Pm.upf
CELL_PARAMETERS angstrom
-1.838 1.838 17.208
1.838 -1.838 17.208
1.838 1.838 -17.208
ATOMIC_POSITIONS crystal
Ca 0.053 0.053 0.000
Ca 0.947 0.947 0.000
La 0.363 0.363 0.000
La 0.637 0.637 0.000
Pm 0.212 0.212 0.000
Pm 0.788 0.788 0.000
```